The following is a PBE+U calculation of an optimized crystal structure of MnNiMoO, from the Alexandria database.

Unit cell a=3.1086 b=3.2837 c=11.4494 alpha=90.00 beta=90.00 gamma=90.00
Each line ends with the local moment (μB).
Atoms (fractional coordinates):
Mn 0.0000 0.0000 0.4847  4.35
Mn 0.5000 0.5000 0.9847  4.35
Ni 0.0000 0.0000 0.1085  1.06
Ni 0.5000 0.5000 0.6085  1.06
Mo 0.0000 0.0000 0.8409  -2.29
Mo 0.5000 0.5000 0.3409  -2.29
O 0.0000 0.5000 0.2185  0.03
O 0.5000 0.0000 0.7185  0.03

Properties
Volume   14.6 A^3/atom
Uncorrected energy   -5.383 eV per atom
Magnetic moment   6.4 μB per cell